Compound: YAlCd4
Source: Alexandria
Functional: SCAN
Structure: PBEsol geometry

The structure belongs to space group F-43m (No. 216); the cell edges are 8.1009, 8.1009 and 8.1009 Å and the angles 90.00°, 90.00° and 90.00°. The inequivalent atoms are Y at (0.0000, 0.0000, 0.0000), Al at (0.2500, 0.2500, 0.2500) and Cd at (0.1252, 0.1252, 0.6252).

The total energy comes out at -26.25 eV/atom. As for the energy relative to the elements: -0.0439 eV per atom.

***

Compound: YAl2Cd
Source: Alexandria
Functional: SCAN
Structure: PBEsol geometry

The structure belongs to space group P4/mmm (No. 123); the cell edges are 4.3469, 4.3469 and 4.2604 Å and the angles 90.00°, 90.00° and 90.00°. The inequivalent atoms are Y at (0.0000, 0.0000, 0.0000), Al at (0.0000, 0.5000, 0.5000) and Cd at (0.5000, 0.5000, 0.0000).

The total energy comes out at -18.84 eV/atom. As for the energy relative to the elements: -0.4006 eV per atom.

***

Compound: ZrAlCd2
Source: Alexandria
Functional: SCAN
Structure: PBEsol geometry

The structure belongs to space group P4/mmm (No. 123); the cell edges are 4.1691, 4.1691 and 4.4086 Å and the angles 90.00°, 90.00° and 90.00°. The inequivalent atoms are Zr at (0.0000, 0.0000, 0.0000), Al at (0.5000, 0.5000, 0.0000) and Cd at (0.0000, 0.5000, 0.5000).

As for the excess energy over the best structure of this formula in the dataset: 0 meV/atom. The total energy comes out at -25.14 eV/atom. As for the energy relative to the elements: -0.3167 eV per atom.

***

Compound: Zr2AlCd
Source: Alexandria
Functional: SCAN
Structure: PBEsol geometry

The structure belongs to space group Pmmm (No. 47); the cell edges are 3.0560, 4.2126 and 6.0974 Å and the angles 90.00°, 90.00° and 90.00°. The inequivalent atoms are Zr at (0.0000, 0.0000, 0.2420), Al at (0.5000, 0.5000, 0.0000) and Cd at (0.5000, 0.5000, 0.5000).

The total energy comes out at -25.23 eV/atom. As for the energy relative to the elements: -0.3407 eV per atom.